Record 1
VASP calculation (PBE-GGA) on a geometry-optimized CaBiTe2N structure.

Calculated values
For the total DFT energy (no corrections), the calculation gives -3.50 eV per atom. The calculation puts the formation energy without anion corrections at 0.60 eV per atom. The calculation puts the offset from the most stable computed form at 322 meV per atom. Its total magnetization is 0.05 μB/cell. Its crystal system is tetragonal.

Cell lengths 5.9143, 5.9143, 4.2303 Å; angles 90.00, 90.00, 90.00 degrees
Space group P4/mmm (No. 123)
Asymmetric unit:
Ca1 0.0000 0.0000 0.0000
Bi1 0.5000 0.5000 0.5000
Te1 0.0000 0.5000 0.0000
N1 0.0000 0.0000 0.5000

Record 2
VASP calculation (PBE-GGA) on a geometry-optimized CaTiBi2N structure.

Calculated values
For the total DFT energy (no corrections), the calculation gives -3.27 eV per atom. The calculation puts the formation energy without anion corrections at 1.93 eV per atom. Its total magnetization is 4.95 μB/cell. Its crystal system is tetragonal.

Cell lengths 5.8173, 5.8173, 5.5040 Å; angles 90.00, 90.00, 90.00 degrees
Space group P4/mmm (No. 123)
Asymmetric unit:
Ca1 0.0000 0.0000 0.0000
Ti1 0.0000 0.0000 0.5000
Bi1 0.0000 0.5000 0.0000
N1 0.5000 0.5000 0.5000

Record 3
VASP calculation (PBE-GGA) on a geometry-optimized CaTiBiN2 structure.

Calculated values
For the total DFT energy (no corrections), the calculation gives -4.20 eV per atom. The calculation puts the formation energy without anion corrections at 1.88 eV per atom. Its total magnetization is 1.88 μB/cell. Its crystal system is tetragonal.

Cell lengths 4.5510, 4.5510, 5.7425 Å; angles 90.00, 90.00, 90.00 degrees
Space group P4/mmm (No. 123)
Asymmetric unit:
Ca1 0.0000 0.0000 0.0000
Ti1 0.5000 0.5000 0.0000
Bi1 0.0000 0.0000 0.5000
N1 0.0000 0.5000 0.5000

Record 4
VASP calculation (PBE-GGA) on a geometry-optimized Ca2YBiN structure.

Calculated values
For the total DFT energy (no corrections), the calculation gives -5.50 eV per atom. The calculation puts the formation energy without anion corrections at -0.97 eV per atom. Its total magnetization is 0.00 μB/cell. Its crystal system is tetragonal.

Cell lengths 4.9504, 4.9504, 4.7922 Å; angles 90.00, 90.00, 90.00 degrees
Space group P4/mmm (No. 123)
Asymmetric unit:
Ca1 0.0000 0.5000 0.0000
Y1 0.0000 0.0000 0.5000
Bi1 0.5000 0.5000 0.5000
N1 0.0000 0.0000 0.0000

Record 5
VASP calculation (PBE-GGA) on a geometry-optimized Ca2ZnBiN structure.

Calculated values
For the total DFT energy (no corrections), the calculation gives -4.14 eV per atom. The calculation puts the formation energy without anion corrections at -0.65 eV per atom. Its total magnetization is 0.00 μB/cell. Its crystal system is tetragonal.

Cell lengths 5.0621, 5.0621, 4.1273 Å; angles 90.00, 90.00, 90.00 degrees
Space group P4/mmm (No. 123)
Asymmetric unit:
Ca1 0.0000 0.5000 0.0000
Zn1 0.0000 0.0000 0.5000
Bi1 0.5000 0.5000 0.5000
N1 0.0000 0.0000 0.0000

Record 6
VASP calculation (PBE-GGA) on a geometry-optimized CaZr2BiN structure.

Calculated values
For the total DFT energy (no corrections), the calculation gives -4.95 eV per atom. The calculation puts the formation energy without anion corrections at 1.31 eV per atom. Its total magnetization is 0.00 μB/cell. Its crystal system is tetragonal.

Cell lengths 5.6693, 5.6693, 4.4729 Å; angles 90.00, 90.00, 90.00 degrees
Space group P4/mmm (No. 123)
Asymmetric unit:
Ca1 0.0000 0.0000 0.0000
Zr1 0.0000 0.5000 0.5000
Bi1 0.5000 0.5000 0.5000
N1 0.5000 0.5000 0.0000